DFT (PBE-GGA) results for La3HO after structural relaxation.

Unit cell a=4.9610 b=4.9610 c=4.9610 alpha=90.00 beta=90.00 gamma=90.00
Positions (direct):
H (0.5000, 0.5000, 0.5000)
La (0.0000, 0.0000, 0.5000)
La (0.0000, 0.5000, 0.0000)
La (0.5000, 0.0000, 0.0000)
O (0.0000, 0.0000, 0.0000)

Output
As for the energy above the lowest structure with this stoichiometry: 0.0 kJ/mol of atoms. The value obtained for the total magnetization is 0.00 μB/atom. Its volume is 122.1 Å³ per cell. The density of states at the Fermi level is 6.46 states/eV per cell. As for the space group: Pm-3m (221). The crystal system is cubic.


DFT (PBE-GGA) results for LaHO3 after structural relaxation.

Unit cell a=3.6451 b=3.6451 c=3.6451 alpha=90.00 beta=90.00 gamma=90.00
Last column: magnetic moment on the atom in μB.
Positions (direct):
H (0.0000, 0.0000, 0.0000)  -0.05
La (0.5000, 0.5000, 0.5000)  -0.04
O (0.5000, 0.0000, 0.0000)  0.59
O (0.0000, 0.0000, 0.5000)  0.55
O (0.0000, 0.5000, 0.0000)  0.71

Output
The value obtained for the total magnetization is 0.40 μB/atom. Its volume is 48.4 Å³ per cell. Its energy is -5.8511 eV per atom. The density of states at the Fermi level is 1.31 states/eV per cell. As for the space group: Pm-3m (221). The crystal system is cubic.


DFT (PBE-GGA) results for LaHO after structural relaxation.

Unit cell a=8.0844 b=8.0844 c=5.7146 alpha=90.00 beta=90.00 gamma=90.00
Positions (direct):
O (0.7641, 0.0000, 0.2586)
O (0.0000, 0.2359, 0.7414)
O (0.7359, 0.5000, 0.7414)
O (0.5000, 0.7359, 0.2586)
O (0.2359, 0.0000, 0.2586)
O (0.2641, 0.5000, 0.7414)
O (0.5000, 0.2641, 0.2586)
O (0.0000, 0.7641, 0.7414)
La (0.0000, 0.0000, 0.0000)
La (0.7500, 0.7500, 0.5000)
La (0.7500, 0.2500, 0.5000)
La (0.0000, 0.5000, 0.9424)
La (0.5000, 0.5000, 0.0000)
La (0.2500, 0.7500, 0.5000)
La (0.2500, 0.2500, 0.5000)
La (0.5000, 0.0000, 0.0576)
H (0.5000, 0.2307, 0.7565)
H (0.2693, 0.0000, 0.7565)
H (0.7693, 0.5000, 0.2435)
H (0.0000, 0.2693, 0.2435)
H (0.7307, 0.0000, 0.7565)
H (0.5000, 0.7693, 0.7565)
H (0.0000, 0.7307, 0.2435)
H (0.2307, 0.5000, 0.2435)

Output
As for the energy above the lowest structure with this stoichiometry: 0.0 kJ/mol of atoms. The value obtained for the total magnetization is 0.00 μB/atom. Its volume is 373.5 Å³ per cell. The density of states at the Fermi level is 0.00 states/eV per cell. As for the space group: P4/nmm (129). The crystal system is tetragonal.


DFT (PBE-GGA) results for LaH3O3 after structural relaxation.

Unit cell a=6.2428 b=6.2428 c=6.2428 alpha=66.92 beta=66.92 gamma=66.92
Positions (direct):
H (0.2428, 0.8052, 0.5147)
H (0.8052, 0.5147, 0.2428)
H (0.7572, 0.1948, 0.4853)
H (0.4853, 0.7572, 0.1948)
H (0.1948, 0.4853, 0.7572)
H (0.5147, 0.2428, 0.8052)
O (0.8958, 0.4577, 0.3634)
O (0.1042, 0.5423, 0.6366)
O (0.5423, 0.6366, 0.1042)
O (0.6366, 0.1042, 0.5423)
O (0.3634, 0.8958, 0.4577)
O (0.4577, 0.3634, 0.8958)
La (0.3226, 0.3226, 0.3226)
La (0.6774, 0.6774, 0.6774)

Output
As for the energy above the lowest structure with this stoichiometry: 2.7 kJ/mol of atoms. The value obtained for the total magnetization is 0.00 μB/atom. Its volume is 197.6 Å³ per cell. The density of states at the Fermi level is 0.00 states/eV per cell. As for the space group: R-3 (148). The crystal system is trigonal.